# Rb2VFePb

Rb2VFePb after structural relaxation (PBE, the Alexandria database).

Calculated values
Electronic total energy: -17.4 eV/cell
SG: No. 123
Magnetization: 0.019 μB per atom
E_form: 1.163 eV/atom

a b c (Å): 6.882 6.882 3.963
angles (deg): 90.00 90.00 90.00
Fractional positions:
Rb1 0.000 0.500 0.000
Rb2 0.500 0.000 0.000
V1 0.000 0.000 0.000
Fe1 0.000 0.000 0.500
Pb1 0.500 0.500 0.500